No. 1
VASP calculation (PBE) on crystalline Sr2La2Pd at its relaxed geometry.

It has space group P4/mbm (No. 127), with a = 7.689 Å, b = 7.689 Å, c = 6.485 Å, α = 90.00°, β = 90.00° and γ = 90.00°. The inequivalent atoms are Sr at (0.175, 0.325, 0.000), La at (0.159, 0.659, 0.500) and Pd at (0.000, 0.000, 0.500).

The crystal system is tetragonal. The value obtained for the calculated formation energy is -0.11 eV per atom.

No. 2
VASP calculation (PBE) on crystalline MnCu6Pd at its relaxed geometry.

It has space group P-6m2 (No. 187), with a = 5.2690 Å, b = 5.2690 Å, c = 4.2496 Å, α = 90.00°, β = 90.00° and γ = 120.00°. The inequivalent atoms are Mn at (0.0000, 0.0000, 0.0000), Cu at (0.3373, 0.1687, 0.5000), Cu at (0.5034, 0.0068, 0.0000) and Pd at (0.3333, 0.6667, 0.5000).

The crystal system is hexagonal. The value obtained for the calculated formation energy is 0.01 eV per atom.

No. 3
VASP calculation (PBE) on crystalline SbRh2Se at its relaxed geometry.

It has space group I-42d (No. 122), with a = 4.604 Å, b = 4.604 Å, c = 15.285 Å, α = 90.00°, β = 90.00° and γ = 90.00°. The inequivalent atoms are Sb at (0.000, 0.000, 0.000), Rh at (0.203, 0.250, 0.625) and Se at (0.000, 0.000, 0.500).

The crystal system is tetragonal. The value obtained for the uncorrected formation energy is -0.15 eV per atom.

No. 4
VASP calculation (PBE) on crystalline HoSc2Ag3Se6 at its relaxed geometry.

It has space group C2/m (No. 12), with a = 6.964 Å, b = 12.074 Å, c = 6.949 Å, α = 90.00°, β = 109.34° and γ = 90.00°. The inequivalent atoms are Ho at (0.000, 0.000, 0.000), Sc at (0.000, 0.332, 0.000), Ag at (0.000, 0.160, 0.500), Ag at (0.000, 0.500, 0.500), Se at (0.232, 0.500, 0.235) and Se at (0.250, 0.173, 0.235).

The crystal system is monoclinic. The value obtained for the uncorrected formation energy is -1.08 eV per atom.

No. 5
VASP calculation (PBE) on crystalline HfTc2PBr at its relaxed geometry.

It has space group P4/mmm (No. 123), with a = 4.520 Å, b = 4.520 Å, c = 4.817 Å, α = 90.00°, β = 90.00° and γ = 90.00°. The inequivalent atoms are Hf at (0.000, 0.000, 0.000), Tc at (0.000, 0.500, 0.500), P at (0.500, 0.500, 0.000) and Br at (0.500, 0.500, 0.500).

The crystal system is tetragonal. The value obtained for the uncorrected formation energy is 1.45 eV per atom.

No. 6
VASP calculation (PBE) on crystalline NbRu at its relaxed geometry.

It has space group I4/m (No. 87), with a = 9.711 Å, b = 9.711 Å, c = 3.105 Å, α = 90.00°, β = 90.00° and γ = 90.00°. The inequivalent atoms are Nb at (0.138, 0.646, 0.000) and Ru at (0.080, 0.172, 0.000).

The crystal system is tetragonal. The value obtained for the calculated formation energy is 0.36 eV per atom.

No. 7
VASP calculation (PBE) on crystalline ZrMoC2 at its relaxed geometry.

It has space group Immm (No. 71), with a = 3.092 Å, b = 5.505 Å, c = 6.224 Å, α = 90.00°, β = 90.00° and γ = 90.00°. The inequivalent atoms are Zr at (0.000, 0.000, 0.000), Mo at (0.000, 0.000, 0.500) and C at (0.000, 0.500, 0.229).

The crystal system is orthorhombic. The polymorph energy (0 for the lowest one) comes out at 0.673 eV per atom. The value obtained for the calculated formation energy is 0.31 eV per atom.

No. 8
VASP calculation (PBE) on crystalline Nd3S3O at its relaxed geometry.

It has space group R3m (No. 160, hexagonal axes), with a = 9.8740 Å, b = 9.8740 Å, c = 5.7640 Å, α = 90.00°, β = 90.00° and γ = 120.00°. The inequivalent atoms are Nd at (0.2026, 0.4051, 0.0000), S at (0.1853, 0.3706, 0.4900) and O at (0.0000, 0.0000, 0.2754).

The crystal system is trigonal. The value obtained for the uncorrected formation energy is -2.03 eV per atom.

No. 9
VASP calculation (PBE) on crystalline LiVSe3 at its relaxed geometry.

It has space group Cc (No. 9), with a = 7.363 Å, b = 12.064 Å, c = 5.857 Å, α = 90.00°, β = 118.79° and γ = 90.00°. The inequivalent atoms are Li at (0.000, 0.172, 0.000), V at (0.330, 0.006, 0.842), Se at (0.027, 0.037, 0.403), Se at (0.028, 0.373, 0.215) and Se at (0.424, 0.156, 0.161).

The crystal system is monoclinic. The polymorph energy (0 for the lowest one) comes out at 0.014 eV per atom. The value obtained for the uncorrected formation energy is -0.73 eV per atom.

No. 10
VASP calculation (PBE) on crystalline Sc2TaNb2 at its relaxed geometry.

It has space group I4/mmm (No. 139), with a = 3.876 Å, b = 3.876 Å, c = 14.047 Å, α = 90.00°, β = 90.00° and γ = 90.00°. The inequivalent atoms are Sc at (0.000, 0.000, 0.094), Ta at (0.000, 0.000, 0.500) and Nb at (0.000, 0.500, 0.250).

The crystal system is tetragonal. The polymorph energy (0 for the lowest one) comes out at 0.347 eV per atom. The value obtained for the calculated formation energy is 0.69 eV per atom.

No. 11
VASP calculation (PBE) on crystalline Li3Zn2Cu8 at its relaxed geometry.

It has space group R-3m (No. 166, hexagonal axes), with a = 4.7980 Å, b = 4.7980 Å, c = 28.0930 Å, α = 90.00°, β = 90.00° and γ = 120.00°. The inequivalent atoms are Li at (0.0000, 0.0000, 0.0000), Li at (0.0000, 0.0000, 0.1811), Zn at (0.0000, 0.0000, 0.3569), Cu at (0.0000, 0.0000, 0.2706) and Cu at (0.0019, 0.5010, 0.7651).

The crystal system is trigonal. The value obtained for the calculated formation energy is 0.02 eV per atom.

No. 12
VASP calculation (PBE) on crystalline CaZn2Ni at its relaxed geometry.

It has space group Cmmm (No. 65), with a = 5.529 Å, b = 8.420 Å, c = 3.021 Å, α = 90.00°, β = 90.00° and γ = 90.00°. The inequivalent atoms are Ca at (0.000, 0.000, 0.000), Zn at (0.250, 0.250, 0.500) and Ni at (0.000, 0.500, 0.000).

The crystal system is orthorhombic. The value obtained for the calculated formation energy is 0.16 eV per atom.

| no. | spin magnetization (μB/atom) | total DFT energy (no corrections) (eV for the cell shown) |
| --- | --- | --- |
| 1 | 0.223 | -37.90 |
| 2 | 0.486 | -38.89 |
| 3 | 0.000 | -91.65 |
| 4 | 0.000 | -119.33 |
| 5 | 0.000 | -30.52 |
| 6 | 0.000 | -149.03 |
| 7 | 0.000 | -73.17 |
| 8 | 0.076 | -137.59 |
| 9 | 0.000 | -100.52 |
| 10 | 0.000 | -82.44 |
| 11 | 0.000 | -122.48 |
| 12 | 0.000 | -19.36 |